1.
A relaxed Cs3Pu2AgBr9 crystal, computed with PBE-GGA.

The crystal system is trigonal. The volume is 39.2 Å³ per atom.

Cell lengths 8.1927, 8.1927, 10.1251 Å; angles 90.00, 90.00, 120.00 degrees
Last column: nearest neighbours and their distance in Å.
Positions (direct):
Br  0.6707  0.8353  0.3321  1 Pu 2.88, 1 Ag 2.89
Br  0.3293  0.1647  0.6679  1 Pu 2.88, 1 Ag 2.89
Br  0.0000  0.5000  0.0000  2 Pu 2.95
Br  0.5000  0.5000  0.0000  2 Pu 2.95
Br  0.1647  0.8353  0.3321  1 Pu 2.88, 1 Ag 2.89
Br  0.8353  0.6707  0.6679  1 Pu 2.88, 1 Ag 2.89
Br  0.5000  0.0000  0.0000  2 Pu 2.95
Br  0.1647  0.3293  0.3321  1 Pu 2.88, 1 Ag 2.89
Br  0.8353  0.1647  0.6679  1 Pu 2.88, 1 Ag 2.89
Cs  0.0000  0.0000  0.0000  12 Br 4.09-4.10
Cs  0.6667  0.3333  0.3529  12 Br 3.99-4.28
Cs  0.3333  0.6667  0.6471  12 Br 3.99-4.28
Pu  0.6667  0.3333  0.8253  6 Br 2.88-2.95
Pu  0.3333  0.6667  0.1747  6 Br 2.88-2.95
Ag  0.0000  0.0000  0.5000  6 Br 2.89

=====

2.
A relaxed ZrTaPS2 crystal, computed with PBE-GGA.

The crystal system is tetragonal. The volume is 22.9 Å³ per atom. As for the energy above the lowest structure with this stoichiometry: 597 meV per atom.

Cell lengths 4.7777, 4.7777, 5.0240 Å; angles 90.00, 90.00, 90.00 degrees
Last column: nearest neighbours and their distance in Å.
Positions (direct):
S  0.5000  0.0000  0.0000  2 Zr 2.39
S  0.0000  0.5000  0.0000  2 Zr 2.39
Ta  0.5000  0.5000  0.5000  4 P 3.38, 8 S 3.47
P  0.0000  0.0000  0.5000  2 Zr 2.51
Zr  0.0000  0.0000  0.0000  4 S 2.39, 2 P 2.51

=====

3.
A relaxed LaSiAg2 crystal, computed with PBE-GGA.

The crystal system is orthorhombic. The volume is 23.7 Å³ per atom.

Cell lengths 5.9212, 4.2903, 4.2983 Å; angles 85.56, 70.43, 109.52 degrees
Last column: nearest neighbours and their distance in Å.
Positions (direct):
Si  0.5000  0.0000  0.5000  4 La 2.92-3.15, 4 Ag 3.02
La  0.5000  0.5000  0.0000  4 Si 2.92-3.15, 4 Ag 3.02
Ag  0.0000  0.5000  0.5000  4 Ag 2.92-3.15, 2 La 3.02, 2 Si 3.02
Ag  0.0000  0.0000  0.0000  4 Ag 2.92-3.15, 2 Si 3.02, 2 La 3.02

=====

4.
A relaxed BaBrO2 crystal, computed with PBE-GGA.

The crystal system is cubic. The volume is 19.4 Å³ per atom. As for the energy above the lowest structure with this stoichiometry: 714 meV per atom.

Cell lengths 4.7918, 4.7918, 4.7918 Å; angles 60.00, 60.00, 60.00 degrees
Last column: nearest neighbours and their distance in Å.
Positions (direct):
Br  0.0000  0.0000  0.0000  8 O 2.93
Ba  0.5000  0.5000  0.5000  8 O 2.93
O  0.7500  0.7500  0.7500  4 Ba 2.93, 4 Br 2.93
O  0.2500  0.2500  0.2500  4 Ba 2.93, 4 Br 2.93

=====

5.
A relaxed Sn3HgTe3 crystal, computed with PBE-GGA.

The crystal system is trigonal. The volume is 37.3 Å³ per atom. As for the energy above the lowest structure with this stoichiometry: 47 meV per atom.

Cell lengths 9.7349, 9.7349, 8.4902 Å; angles 55.02, 55.02, 60.00 degrees
Last column: nearest neighbours and their distance in Å.
Positions (direct):
Te  0.0258  0.4531  0.7552  4 Sn 3.00-3.34
Te  0.4531  0.7659  0.7552  4 Sn 3.00-3.34
Te  0.5469  0.2341  0.2448  4 Sn 3.00-3.34
Te  0.9742  0.5469  0.2448  4 Sn 3.00-3.34
Te  0.2341  0.9742  0.2448  4 Sn 3.00-3.34
Te  0.7659  0.0258  0.7552  4 Sn 3.00-3.34
Sn  0.7288  0.4280  0.7593  4 Te 3.00-3.34, 1 Hg 3.14
Sn  0.2712  0.5720  0.2407  4 Te 3.00-3.34, 1 Hg 3.14
Sn  0.0838  0.7288  0.7593  4 Te 3.00-3.34, 1 Hg 3.14
Sn  0.5720  0.9162  0.2407  4 Te 3.00-3.34, 1 Hg 3.14
Sn  0.4280  0.0838  0.7593  4 Te 3.00-3.34, 1 Hg 3.14
Sn  0.9162  0.2712  0.2407  4 Te 3.00-3.34, 1 Hg 3.14
Hg  0.4086  0.4086  0.7742  3 Sn 3.14, 1 Hg 3.49
Hg  0.5914  0.5914  0.2258  3 Sn 3.14, 1 Hg 3.49

=====

6.
A relaxed KSb2RhO8 crystal, computed with PBE-GGA.

The crystal system is monoclinic. The volume is 12.9 Å³ per atom.

Cell lengths 4.9742, 4.7907, 6.4964 Å; angles 89.98, 89.98, 86.32 degrees
Last column: nearest neighbours and their distance in Å.
Positions (direct):
Rh  0.0000  0.0000  0.0000  6 O 1.96-2.15
O  0.8345  0.2572  0.2060  1 Rh 1.96, 1 Sb 1.99
O  0.3327  0.2639  0.0000  1 Rh 2.15, 2 Sb 2.18
O  0.8349  0.2576  0.7940  1 Rh 1.96, 1 Sb 1.99
O  0.6673  0.7361  0.0000  1 Rh 2.15, 2 Sb 2.18
O  0.1655  0.7428  0.7940  1 Rh 1.96, 1 Sb 1.99
O  0.6182  0.7166  0.4999  2 Sb 2.03
O  0.1651  0.7424  0.2060  1 Rh 1.96, 1 Sb 1.99
O  0.3818  0.2834  0.5001  2 Sb 2.03
K  0.0000  0.0000  0.5000  6 O 2.39-2.40
Sb  0.5000  0.5001  0.2509  6 O 1.99-2.18
Sb  0.5000  0.4999  0.7491  6 O 1.99-2.18

=====

Calculated values (meV per atom) of uncorrected formation energy for the records, taken in order: -1498, 472, 43, -751, -146, -954.